No. 1
{
  "formula": "AlPbSe2",
  "functional": "PBE-GGA",
  "state": "relaxed",
  "raw_formation_energy_kj_per_mol_fu": -224,
  "crystal_system": "monoclinic",
  "energy_ev_per_atom": -4.184,
  "lattice": [[3.7309, 0.0097, -0.0057], [1.9275, 3.1944, -0.0057], [0.7703, 0.4362, 8.2030]],
  "species": ["Se", "Se", "Al", "Pb"],
  "frac_coords": [[0.4369, 0.4369, 0.5762], [0.0631, 0.0631, 0.9238], [0.7500, 0.7500, 0.7500], [0.2500, 0.2500, 0.2500]]
}

No. 2
{
  "formula": "GaSbRh4",
  "functional": "PBE-GGA",
  "state": "relaxed",
  "raw_formation_energy_kj_per_mol_fu": -153,
  "crystal_system": "orthorhombic",
  "de_polymorph_ev_per_fu": 0.72,
  "energy_ev_per_atom": -6.358,
  "lattice": [[-3.3045, -0.8773, 2.9783], [-3.0984, -1.7415, -3.9507], [2.8627, -7.3730, 1.0049]],
  "species": ["Rh", "Rh", "Rh", "Rh", "Rh", "Rh", "Rh", "Rh", "Sb", "Sb", "Ga", "Ga"],
  "frac_coords": [[0.9996, 0.5936, 0.1869], [0.0004, 0.4064, 0.8131], [0.4996, 0.9064, 0.1869], [0.9995, 0.1006, 0.3281], [0.5005, 0.6006, 0.6719], [0.5004, 0.0936, 0.8131], [0.0005, 0.8994, 0.6719], [0.4995, 0.3994, 0.3281], [0.0000, 0.0000, 0.0000], [0.5000, 0.5000, 0.0000], [0.0000, 0.5000, 0.5000], [0.5000, 0.0000, 0.5000]]
}

No. 3
{
  "formula": "Nd3Y3Ho2",
  "functional": "PBE-GGA",
  "state": "relaxed",
  "crystal_system": "monoclinic",
  "energy_ev_per_atom": -5.277,
  "lattice": [[5.7353, 0.0000, 0.0000], [0.0000, 6.0280, -0.3272], [-2.8677, -2.8318, 7.8916]],
  "species": ["Nd", "Nd", "Nd", "Y", "Y", "Y", "Ho", "Ho"],
  "frac_coords": [[0.5000, 0.5000, 0.0000], [0.6356, 0.0737, 0.2712], [0.3644, 0.9263, 0.7288], [0.1334, 0.6841, 0.2668], [0.8666, 0.3159, 0.7332], [0.0000, 0.0000, 0.0000], [0.7493, 0.6808, 0.4987], [0.2507, 0.3192, 0.5013]]
}